{
  "formula": "Y2ScAu",
  "functional": "GGA-PBE",
  "state": "relaxed",
  "cell": [[5.178, 0.000, 0.000], [2.589, 4.484, 0.000], [2.589, 1.495, 4.228]],
  "species": ["Sc", "Y", "Y", "Au"],
  "frac_coords": [[0.750, 0.750, 0.750], [0.000, 0.000, 0.000], [0.250, 0.250, 0.250], [0.500, 0.500, 0.500]],
  "formation_energy_ev_per_atom": -0.1227,
  "polymorph_energy_ev_per_atom": 0.294,
  "vol_a3_per_atom": 24.5
}

{
  "formula": "Y2ScAu",
  "functional": "GGA-PBE",
  "state": "relaxed",
  "cell": [[6.106, -0.001, 0.000], [2.966, 5.337, 0.000], [-4.536, -2.668, 3.097]],
  "species": ["Y", "Sc", "Y", "Au"],
  "frac_coords": [[0.250, 0.750, 0.500], [0.750, 0.250, 0.500], [0.000, 0.000, 0.000], [0.500, 0.500, 0.000]],
  "formation_energy_ev_per_atom": -0.2279,
  "polymorph_energy_ev_per_atom": 0.188,
  "vol_a3_per_atom": 25.2
}

{
  "formula": "Y2ScAu",
  "functional": "GGA-PBE",
  "state": "relaxed",
  "cell": [[3.546, 0.000, 0.000], [0.000, 3.546, 0.000], [0.000, 0.000, 8.304]],
  "species": ["Y", "Sc", "Au", "Y"],
  "frac_coords": [[0.500, 0.500, 0.293], [0.500, 0.500, 0.700], [0.000, 0.000, 0.525], [0.000, 0.000, 0.982]],
  "formation_energy_ev_per_atom": -0.3730,
  "polymorph_energy_ev_per_atom": 0.043,
  "vol_a3_per_atom": 26.1
}

{
  "formula": "Y2ScAu",
  "functional": "GGA-PBE",
  "state": "relaxed",
  "cell": [[5.007, 0.000, 0.000], [0.000, 5.018, 0.015], [0.000, 5.010, 4.019]],
  "species": ["Sc", "Y", "Au", "Y"],
  "frac_coords": [[0.000, 0.000, 0.500], [0.500, 0.500, 0.000], [0.500, 0.500, 0.500], [0.000, 0.000, 0.000]],
  "formation_energy_ev_per_atom": -0.2923,
  "polymorph_energy_ev_per_atom": 0.124,
  "vol_a3_per_atom": 25.1
}

{
  "formula": "Y3ScAu",
  "functional": "GGA-PBE",
  "state": "relaxed",
  "cell": [[5.373, 0.000, 0.000], [0.000, 5.373, 0.000], [0.000, 0.000, 5.373]],
  "species": ["Y", "Y", "Y", "Sc", "Au"],
  "frac_coords": [[0.500, 0.000, 0.000], [0.000, 0.500, 0.000], [0.000, 0.000, 0.500], [0.000, 0.000, 0.000], [0.500, 0.500, 0.500]],
  "formation_energy_ev_per_atom": 0.6514,
  "polymorph_energy_ev_per_atom": 0.583,
  "vol_a3_per_atom": 31.0
}

{
  "formula": "YSc2Au2",
  "functional": "GGA-PBE",
  "state": "relaxed",
  "cell": [[5.007, 0.000, 0.000], [0.000, 5.007, 0.000], [2.504, 2.504, 5.017]],
  "species": ["Sc", "Au", "Sc", "Y", "Au"],
  "frac_coords": [[0.650, 0.650, 0.700], [0.250, 0.750, 0.500], [0.350, 0.350, 0.300], [0.000, 0.000, 0.000], [0.750, 0.250, 0.500]],
  "formation_energy_ev_per_atom": -0.3477,
  "polymorph_energy_ev_per_atom": 0.305,
  "vol_a3_per_atom": 25.2
}

{
  "formula": "Y2ScAu",
  "functional": "GGA-PBE",
  "state": "relaxed",
  "cell": [[-1.111, -4.573, -4.300], [1.562, -5.788, -2.168], [-3.086, -3.784, 1.713]],
  "species": ["Au", "Sc", "Y", "Y"],
  "frac_coords": [[0.511, 0.511, 0.490], [0.206, 0.206, 0.294], [0.785, 0.785, 0.715], [0.998, 0.998, 0.002]],
  "formation_energy_ev_per_atom": -0.4164,
  "polymorph_energy_ev_per_atom": 0.000,
  "vol_a3_per_atom": 26.0
}

{
  "formula": "Y2ScAu",
  "functional": "GGA-PBE",
  "state": "relaxed",
  "cell": [[-3.876, -0.919, -2.389], [2.028, -0.363, -3.150], [1.714, -6.030, -0.462]],
  "species": ["Y", "Y", "Au", "Sc"],
  "frac_coords": [[0.500, 0.285, 0.305], [0.000, 0.955, 0.964], [0.000, 0.697, 0.481], [0.500, 0.562, 0.750]],
  "formation_energy_ev_per_atom": -0.3407,
  "polymorph_energy_ev_per_atom": 0.076,
  "vol_a3_per_atom": 26.2
}

{
  "formula": "Y2ScAu",
  "functional": "GGA-PBE",
  "state": "relaxed",
  "cell": [[6.213, -0.006, 0.003], [5.063, 3.601, 0.003], [2.086, 0.665, 4.599]],
  "species": ["Au", "Y", "Y", "Sc"],
  "frac_coords": [[0.750, 0.750, 0.750], [0.036, 0.036, 0.964], [0.464, 0.464, 0.536], [0.250, 0.250, 0.250]],
  "formation_energy_ev_per_atom": -0.3380,
  "polymorph_energy_ev_per_atom": 0.078,
  "vol_a3_per_atom": 25.8
}

{
  "formula": "Y3ScAu4",
  "functional": "GGA-PBE",
  "state": "relaxed",
  "cell": [[-3.342, -0.833, 0.855], [0.986, -0.489, 3.374], [-2.713, 13.742, 2.785]],
  "species": ["Y", "Au", "Au", "Y", "Sc", "Au", "Y", "Au"],
  "frac_coords": [[0.500, 0.500, 0.243], [0.000, 0.000, 0.110], [0.000, 0.000, 0.628], [0.500, 0.500, 0.500], [0.500, 0.500, 0.000], [0.000, 0.000, 0.372], [0.500, 0.500, 0.757], [0.000, 0.000, 0.890]],
  "formation_energy_ev_per_atom": -0.8392,
  "vol_a3_per_atom": 22.5
}

{
  "formula": "YScAu",
  "functional": "GGA-PBE",
  "state": "relaxed",
  "cell": [[4.834, 0.000, 0.000], [2.417, 4.186, 0.000], [2.417, 1.395, 7.910]],
  "species": ["Sc", "Y", "Au", "Sc", "Y", "Au"],
  "frac_coords": [[0.629, 0.629, 0.114], [0.121, 0.121, 0.636], [0.746, 0.746, 0.762], [0.371, 0.371, 0.886], [0.879, 0.879, 0.364], [0.254, 0.254, 0.238]],
  "formation_energy_ev_per_atom": -0.4252,
  "polymorph_energy_ev_per_atom": 0.226,
  "vol_a3_per_atom": 26.7
}

{
  "formula": "YSc2Au2",
  "functional": "GGA-PBE",
  "state": "relaxed",
  "cell": [[4.534, 0.000, 0.000], [0.000, 4.534, 0.000], [2.267, 2.267, 5.799]],
  "species": ["Au", "Au", "Sc", "Sc", "Y"],
  "frac_coords": [[0.385, 0.385, 0.230], [0.615, 0.615, 0.770], [0.250, 0.750, 0.500], [0.750, 0.250, 0.500], [0.000, 0.000, 0.000]],
  "formation_energy_ev_per_atom": -0.5714,
  "polymorph_energy_ev_per_atom": 0.081,
  "vol_a3_per_atom": 23.8
}